## NaBeBiN2 (GGA-PBE)

Data for a relaxed structure of NaBeBiN2.

abc: 3.882 4.350 3.882
angles: 90.00 90.00 90.00
Fractional coordinates of all 5 atoms:
Na (0.000, 0.500, 0.000)
Be (0.000, 0.000, 0.000)
Bi (0.500, 0.500, 0.500)
N (0.000, 0.000, 0.500)
N (0.500, 0.000, 0.000)

Output
- magnetic moment (μB/cell) = 0.000
- crystal system = tetragonal
- ΔE_f (raw) (eV/f.u.) = 5.74
- N(E_F) (states/eV/cell) = 2.1